# 1
Here is an optimized crystal structure of Hf12Al6Co from Alexandria via LeMat-Bulk. Energies are from PBE.

Structure (POSCAR):
```
Hf12Al6Co
1.0
7.122 0.581 0.696
-0.505 7.127 0.696
-0.505 -0.589 7.137
Hf Al Co
12 6 1
Direct
0.809 0.518 0.432 Hf
0.432 0.809 0.518 Hf
0.518 0.432 0.809 Hf
0.191 0.482 0.568 Hf
0.568 0.191 0.482 Hf
0.482 0.568 0.191 Hf
0.044 0.147 0.375 Hf
0.853 0.625 0.956 Hf
0.625 0.956 0.853 Hf
0.956 0.853 0.625 Hf
0.147 0.375 0.044 Hf
0.375 0.044 0.147 Hf
0.745 0.889 0.249 Al
0.751 0.255 0.111 Al
0.111 0.751 0.255 Al
0.255 0.111 0.751 Al
0.249 0.745 0.889 Al
0.889 0.249 0.745 Al
0.000 0.000 0.000 Co
```

Properties
SG: R-3
calculated formation energy: -186 meV per atom

---

# 2
Here is an optimized crystal structure of ZrMo3 from Alexandria via LeMat-Bulk. Energies are from PBE.

Structure (POSCAR):
```
ZrMo3
1.0
-1.113 2.243 -2.044
2.028 -1.070 -2.277
-4.587 -4.202 -2.113
Mo Zr
3 1
Direct
0.000 0.000 0.016 Mo
0.000 0.000 0.484 Mo
0.500 0.500 0.250 Mo
0.500 0.500 0.750 Zr
```

Properties
SG: P4/mmm
calculated formation energy: -28 meV per atom

---

# 3
Here is an optimized crystal structure of Cr2BRu2 from Alexandria via LeMat-Bulk. Energies are from PBE.

Structure (POSCAR):
```
Cr2BRu2
1.0
3.542 0.000 0.000
0.000 3.542 0.000
1.771 1.771 5.463
Ru B Cr
2 1 2
Direct
0.750 0.250 0.500 Ru
0.250 0.750 0.500 Ru
0.000 0.000 0.000 B
0.408 0.408 0.184 Cr
0.592 0.592 0.816 Cr
```

Properties
SG: I4/mmm
calculated formation energy: 1050 meV per atom
ΔE to the lowest computed polymorph: 0.237 eV per atom

---

# 4
Here is an optimized crystal structure of TmCo3H6 from Alexandria via LeMat-Bulk. Energies are from PBE.

Structure (POSCAR):
```
TmCo3H6
1.0
3.858 0.000 -2.067
-2.483 3.604 0.000
0.284 0.196 5.163
Tm Co H
1 3 6
Direct
0.768 0.884 0.652 Tm
0.672 0.336 0.007 Co
0.347 0.674 0.021 Co
0.156 0.078 0.233 Co
0.353 0.434 0.777 H
0.161 0.706 0.252 H
0.798 0.092 0.252 H
0.342 0.919 0.777 H
0.858 0.423 0.777 H
0.546 0.454 0.252 H
```

Properties
SG: R3
E: -4.7971 eV/atom

---

# 5
Here is an optimized crystal structure of CsNa3Sb2 from Alexandria via LeMat-Bulk. Energies are from PBE.

Structure (POSCAR):
```
CsNa3Sb2
1.0
5.247 0.000 1.444
1.311 8.460 5.488
0.030 0.601 10.142
Cs Na Sb
2 6 4
Direct
0.855 0.145 0.146 Cs
0.145 0.855 0.854 Cs
0.335 0.475 0.855 Na
0.000 0.335 0.665 Na
0.664 0.147 0.525 Na
0.336 0.853 0.475 Na
0.000 0.665 0.335 Na
0.665 0.525 0.145 Na
0.500 0.150 0.851 Sb
0.500 0.850 0.149 Sb
0.824 0.675 0.676 Sb
0.176 0.325 0.324 Sb
```

Properties
SG: C2/m
uncorrected formation energy: -342 meV per atom

---

# 6
Here is an optimized crystal structure of Rb2PtBrN from Alexandria via LeMat-Bulk. Energies are from PBE.

Structure (POSCAR):
```
Rb2PtBrN
1.0
6.547 0.000 0.000
0.000 6.547 0.000
0.000 0.000 3.731
Br Rb Pt N
1 2 1 1
Direct
0.500 0.500 0.500 Br
0.000 0.500 0.000 Rb
0.500 0.000 0.000 Rb
0.000 0.000 0.000 Pt
0.000 0.000 0.500 N
```

Properties
SG: P4/mmm
uncorrected formation energy: -623 meV per atom
ΔE to the lowest computed polymorph: 0.079 eV per atom

---

# 7
Here is an optimized crystal structure of CaGa3Hg3 from Alexandria via LeMat-Bulk. Energies are from PBE.

Structure (POSCAR):
```
CaGa3Hg3
1.0
-3.338 -6.175 2.581
2.583 -3.850 -5.869
6.174 -1.728 3.851
Ca Hg Ga
2 6 6
Direct
0.500 0.500 0.500 Ca
0.000 0.000 0.000 Ca
0.250 0.000 0.500 Hg
0.000 0.500 0.250 Hg
0.500 0.750 0.000 Hg
0.750 0.000 0.500 Hg
0.000 0.500 0.750 Hg
0.500 0.250 0.000 Hg
0.000 0.250 0.500 Ga
0.000 0.750 0.500 Ga
0.500 0.000 0.750 Ga
0.750 0.500 0.000 Ga
0.500 0.000 0.250 Ga
0.250 0.500 0.000 Ga
```

Properties
SG: Pm-3n
calculated formation energy: 107 meV per atom

---

# 8
Here is an optimized crystal structure of DyTl2Au from Alexandria via LeMat-Bulk. Energies are from PBE.

Structure (POSCAR):
```
DyTl2Au
1.0
3.520 0.000 0.000
1.760 3.049 0.000
1.760 1.016 10.726
Tl Au Dy
2 1 1
Direct
0.098 0.098 0.706 Tl
0.902 0.902 0.294 Tl
0.500 0.500 0.500 Au
0.000 0.000 0.000 Dy
```

Properties
SG: R-3m
calculated formation energy: 111 meV per atom
ΔE to the lowest computed polymorph: 0.428 eV per atom

---

# 9
Here is an optimized crystal structure of ZrP2OF from Alexandria via LeMat-Bulk. Energies are from PBE.

Structure (POSCAR):
```
ZrP2OF
1.0
3.837 0.000 0.000
0.000 3.837 0.000
0.000 0.000 4.716
P O Zr F
2 1 1 1
Direct
0.000 0.500 0.000 P
0.500 0.000 0.000 P
0.000 0.000 0.500 O
0.500 0.500 0.500 Zr
0.000 0.000 0.000 F
```

Properties
SG: P4/mmm
uncorrected formation energy: -253 meV per atom
ΔE to the lowest computed polymorph: 0.101 eV per atom

---

# 10
Here is an optimized crystal structure of BaSmLu2 from Alexandria via LeMat-Bulk. Energies are from PBE.

Structure (POSCAR):
```
BaSmLu2
1.0
3.685 0.000 0.000
0.000 3.685 0.000
0.000 0.000 10.622
Lu Ba Sm
2 1 1
Direct
0.000 0.000 0.782 Lu
0.000 0.000 0.218 Lu
0.500 0.500 0.500 Ba
0.500 0.500 0.000 Sm
```

Properties
SG: P4/mmm
calculated formation energy: 185 meV per atom

---

# 11
Here is an optimized crystal structure of ErTh3Rh12 from Alexandria via LeMat-Bulk. Energies are from PBE.

Structure (POSCAR):
```
ErTh3Rh12
1.0
-0.767 1.444 -3.765
-3.864 0.832 1.107
4.615 15.017 4.819
Er Th Rh
1 3 12
Direct
0.000 0.000 0.000 Er
0.000 0.000 0.246 Th
0.000 0.000 0.500 Th
0.000 0.000 0.754 Th
0.500 0.500 0.000 Rh
0.500 0.500 0.247 Rh
0.500 0.500 0.500 Rh
0.500 0.500 0.753 Rh
0.500 0.000 0.120 Rh
0.500 0.000 0.373 Rh
0.500 0.000 0.627 Rh
0.500 0.000 0.880 Rh
0.000 0.500 0.120 Rh
0.000 0.500 0.373 Rh
0.000 0.500 0.627 Rh
0.000 0.500 0.880 Rh
```

Properties
SG: P4/mmm
calculated formation energy: -675 meV per atom

---

# 12
Here is an optimized crystal structure of Ac3TlGe3 from Alexandria via LeMat-Bulk. Energies are from PBE.

Structure (POSCAR):
```
Ac3TlGe3
1.0
6.535 0.000 0.000
0.000 9.374 0.000
0.000 -4.687 8.118
Ac Tl Ge
6 2 6
Direct
0.750 0.696 0.639 Ac
0.750 0.361 0.057 Ac
0.750 0.943 0.304 Ac
0.250 0.304 0.361 Ac
0.250 0.639 0.943 Ac
0.250 0.057 0.696 Ac
0.250 0.667 0.333 Tl
0.750 0.333 0.667 Tl
0.250 0.691 0.639 Ge
0.250 0.361 0.052 Ge
0.250 0.948 0.309 Ge
0.750 0.309 0.361 Ge
0.750 0.639 0.948 Ge
0.750 0.052 0.691 Ge
```

Properties
SG: P6_3/m
calculated formation energy: -493 meV per atom